Entry 1:
Compound: GaP3Ir
Source: Alexandria via LeMat-Bulk
Functional: PBE
Structure: relaxed

Cell: 4.684 4.684 4.684 Å, 90.00 90.00 90.00°
Fractional positions:
Ir  0.000  0.000  0.000
Ga  0.500  0.500  0.500
P  0.500  0.000  0.000
P  0.000  0.000  0.500
P  0.000  0.500  0.000

Computed properties:
The value obtained for the energy above the most stable polymorph in this dataset is 0 meV per atom. The formation enthalpy at 0 K comes out at 707 meV/atom.


Entry 2:
Compound: GaPIrPb2
Source: Alexandria via LeMat-Bulk
Functional: PBE
Structure: relaxed

Cell: 5.326 4.506 5.326 Å, 90.00 90.00 90.00°
Fractional positions:
Ga  0.000  0.500  0.000
Ir  0.500  0.500  0.500
Pb  0.000  0.000  0.500
Pb  0.500  0.000  0.000
P  0.000  0.000  0.000

Computed properties:
The formation enthalpy at 0 K comes out at 966 meV/atom.


Entry 3:
Compound: Pm2GaP3Ir4
Source: Alexandria via LeMat-Bulk
Functional: PBE
Structure: relaxed

Cell: 4.126 4.126 10.005 Å, 90.00 90.00 90.00°
Fractional positions:
Ir  0.000  0.000  0.000
Ir  0.500  0.000  0.633
Ir  0.000  0.500  0.367
Ir  0.500  0.500  0.000
Ga  0.500  0.500  0.500
Pm  0.500  0.000  0.252
Pm  0.000  0.500  0.748
P  0.000  0.500  0.136
P  0.500  0.000  0.864
P  0.000  0.000  0.500

Computed properties:
The formation enthalpy at 0 K comes out at -918 meV/atom.


Entry 4:
Compound: PrGaPIr2
Source: Alexandria via LeMat-Bulk
Functional: PBE
Structure: relaxed

Cell: 4.247 6.402 7.457 Å, 90.00 90.00 109.37°
Fractional positions:
Ir  0.177  0.353  0.944
Ir  0.823  0.647  0.444
Ir  0.177  0.353  0.556
Ir  0.823  0.647  0.056
P  0.000  0.000  0.000
P  0.000  0.000  0.500
Pr  0.572  0.144  0.250
Pr  0.428  0.856  0.750
Ga  0.280  0.560  0.250
Ga  0.720  0.440  0.750

Computed properties:
The formation enthalpy at 0 K comes out at -712 meV/atom.


Entry 5:
Compound: GaPIr2Se
Source: Alexandria via LeMat-Bulk
Functional: PBE
Structure: relaxed

Cell: 4.384 5.268 4.384 Å, 90.00 90.00 90.00°
Fractional positions:
Ir  0.000  0.000  0.500
Ir  0.500  0.000  0.000
Se  0.000  0.500  0.000
Ga  0.500  0.500  0.500
P  0.000  0.000  0.000

Computed properties:
Its formation energy from raw total energies is 0.654 eV per atom.


Entry 6:
Compound: SmGaPIr2
Source: Alexandria via LeMat-Bulk
Functional: PBE
Structure: relaxed

Cell: 4.197 6.416 7.377 Å, 90.00 90.00 109.09°
Fractional positions:
P  0.000  0.000  0.500
P  0.000  0.000  0.000
Sm  0.577  0.153  0.250
Sm  0.423  0.847  0.750
Ir  0.824  0.648  0.446
Ir  0.824  0.648  0.054
Ir  0.176  0.352  0.946
Ir  0.176  0.352  0.554
Ga  0.719  0.437  0.750
Ga  0.281  0.563  0.250

Computed properties:
The formation enthalpy at 0 K comes out at -720 meV/atom.


Entry 7:
Compound: Sm2GaP3Ir4
Source: Alexandria via LeMat-Bulk
Functional: PBE
Structure: relaxed

Cell: 4.114 4.114 10.010 Å, 90.00 90.00 90.00°
Fractional positions:
Ir  0.500  0.500  0.000
Ir  0.500  0.000  0.634
Ir  0.000  0.500  0.366
Ir  0.000  0.000  0.000
P  0.000  0.500  0.136
P  0.500  0.000  0.864
P  0.000  0.000  0.500
Sm  0.500  0.000  0.252
Sm  0.000  0.500  0.748
Ga  0.500  0.500  0.500

Computed properties:
The formation enthalpy at 0 K comes out at -918 meV/atom.


Entry 8:
Compound: Tb3GaP2Ir9
Source: Alexandria via LeMat-Bulk
Functional: PBE
Structure: relaxed

Cell: 5.620 5.620 10.356 Å, 90.00 90.00 120.00°
Fractional positions:
Ga  0.000  0.000  0.500
Ir  0.841  0.681  0.693
Ir  0.681  0.841  0.307
Ir  0.159  0.841  0.307
Ir  0.000  0.500  0.000
Ir  0.841  0.159  0.693
Ir  0.500  0.500  0.000
Ir  0.159  0.319  0.307
Ir  0.319  0.159  0.693
Ir  0.500  0.000  0.000
P  0.667  0.333  0.839
P  0.333  0.667  0.161
Tb  0.667  0.333  0.420
Tb  0.333  0.667  0.580
Tb  0.000  0.000  0.000

Computed properties:
The formation enthalpy at 0 K comes out at -404 meV/atom.